This record from OQMD via LeMat-Bulk describes a relaxed structure of Cs2ScCuCl6. The functional is PBE-GGA.

abc: 7.2201 7.2201 7.2201
angles: 60.00 60.00 60.00
With the nearest neighbours (Å) after each atom.
Element x y z (fractional)
Cs  0.2500  0.2500  0.2500  12 Cl 3.61
Cs  0.7500  0.7500  0.7500  12 Cl 3.61
Sc  0.0000  0.0000  0.0000  6 Cl 2.52
Cu  0.5000  0.5000  0.5000  6 Cl 2.59
Cl  0.2468  0.2468  0.7532  1 Sc 2.52, 1 Cu 2.59
Cl  0.2468  0.7532  0.2468  1 Sc 2.52, 1 Cu 2.59
Cl  0.2468  0.7532  0.7532  1 Sc 2.52, 1 Cu 2.59
Cl  0.7532  0.2468  0.2468  1 Sc 2.52, 1 Cu 2.59
Cl  0.7532  0.2468  0.7532  1 Sc 2.52, 1 Cu 2.59
Cl  0.7532  0.7532  0.2468  1 Sc 2.52, 1 Cu 2.59

Values from the calculation:
**Total magnetic moment**: 0.0 μB/f.u.
**Calculated volume**: 26.61 Å³/atom

---

This record from OQMD via LeMat-Bulk describes a relaxed structure of Pr3Al2I2. The functional is PBE-GGA.

abc: 10.0435 10.0435 12.3525
angles: 120.45 120.45 24.72
With the nearest neighbours (Å) after each atom.
Element x y z (fractional)
Pr  0.0341  0.0341  0.1892  6 Al 3.24-3.54, 3 I 3.41-3.44
Pr  0.2558  0.2558  0.7009  3 Al 3.14-3.27, 2 I 3.27-3.34
Pr  0.3318  0.3318  0.1101  4 Al 3.16-3.28, 2 I 3.19
Pr  0.6682  0.6682  0.8899  4 Al 3.16-3.28, 2 I 3.19
Pr  0.7442  0.7442  0.2991  3 Al 3.14-3.27, 2 I 3.27-3.34
Pr  0.9659  0.9659  0.8108  6 Al 3.24-3.54, 3 I 3.41-3.44
Al  0.1599  0.1599  0.0836  2 Al 2.61
Al  0.4270  0.4270  0.9683  3 Al 2.55-2.61
Al  0.5730  0.5730  0.0317  3 Al 2.55-2.61
Al  0.8401  0.8401  0.9164  2 Al 2.61
I  0.0763  0.0763  0.6697  4 Pr 3.19-3.41
I  0.3583  0.3583  0.5605  5 Pr 3.27-3.54
I  0.6417  0.6417  0.4395  5 Pr 3.27-3.54
I  0.9237  0.9237  0.3303  4 Pr 3.19-3.41

Values from the calculation:
**Total magnetic moment**: 0.5 μB/f.u.
**Calculated volume**: 31.82 Å³/atom

---

This record from OQMD via LeMat-Bulk describes a relaxed structure of CsNbFeSe3. The functional is PBE-GGA.

abc: 9.3095 3.6971 9.9146
angles: 90.00 114.66 90.00
With the nearest neighbours (Å) after each atom.
Element x y z (fractional)
Cs  0.9997  0.2500  0.2388  7 Se 3.48-3.82, 2 Cs 3.70
Cs  0.0003  0.7500  0.7612  7 Se 3.48-3.82, 2 Cs 3.70
Nb  0.4735  0.7500  0.6807  6 Se 2.58-2.75, 2 Fe 2.81
Nb  0.5265  0.2500  0.3193  6 Se 2.58-2.75, 2 Fe 2.81
Fe  0.4816  0.2500  0.8972  4 Se 2.41-2.48, 2 Fe 2.67
Fe  0.5184  0.7500  0.1028  4 Se 2.41-2.48, 2 Fe 2.67
Se  0.2647  0.2500  0.6545  1 Fe 2.41, 2 Nb 2.62
Se  0.3235  0.2500  0.0459  3 Fe 2.48, 1 Nb 2.58
Se  0.3488  0.7500  0.3762  3 Nb 2.69-2.75
Se  0.6512  0.2500  0.6238  3 Nb 2.69-2.75
Se  0.6765  0.7500  0.9541  3 Fe 2.48, 1 Nb 2.58
Se  0.7353  0.7500  0.3455  1 Fe 2.41, 2 Nb 2.62

Values from the calculation:
**Total magnetic moment**: 2.0 μB/f.u.
**Calculated volume**: 25.84 Å³/atom
**Distance to the lowest polymorph of the same formula**: 0.0000 eV per atom

---

This record from OQMD via LeMat-Bulk describes a relaxed structure of Ba2CdTcSe6. The functional is PBE-GGA.

abc: 7.1757 7.1757 8.4343
angles: 123.08 123.08 52.78
With the nearest neighbours (Å) after each atom.
Element x y z (fractional)
Ba  0.2454  0.2454  0.2659  7 Se 3.25-3.56
Ba  0.7546  0.7546  0.7341  7 Se 3.25-3.56
Cd  0.0000  0.0000  0.5000  6 Se 2.71-2.90
Tc  0.5000  0.5000  0.0000  6 Se 2.52-2.63
Se  0.1863  0.7024  0.1648  1 Tc 2.52
Se  0.2589  0.2589  0.6655  1 Tc 2.63, 1 Cd 2.71
Se  0.2976  0.8137  0.8352  1 Tc 2.52
Se  0.7024  0.1863  0.1648  1 Tc 2.52
Se  0.7411  0.7411  0.3345  1 Tc 2.63, 1 Cd 2.71
Se  0.8137  0.2976  0.8352  1 Tc 2.52

Values from the calculation:
**Total magnetic moment**: 1.7 μB/f.u.
**Calculated volume**: 27.42 Å³/atom
**Distance to the lowest polymorph of the same formula**: 0.0318 eV per atom

---

In the order shown, the computed total DFT energy (no corrections) values come out to -4.02 -4.39 -5.77 -4.44 eV per atom.